1.
An optimized crystal structure of MnAl3Au. Source: the Alexandria database, functional PBE.

## Properties
Its total energy is -21.97 eV for the cell shown. Its magnetization is 0.0 μB/f.u. The excess energy over the best structure of this formula in the dataset comes out at 0.000 eV per atom. The formation energy from the elements is 0.341 eV per atom. Its symmetry is Pm-3m (221).

Cell: 4.5190 4.5190 4.5190 Å, 90.00 90.00 90.00°
Element x y z (fractional)
Mn (0.0000, 0.0000, 0.0000)
Au (0.5000, 0.5000, 0.5000)
Al (0.0000, 0.5000, 0.0000)
Al (0.0000, 0.0000, 0.5000)
Al (0.5000, 0.0000, 0.0000)

2.
An optimized crystal structure of Mn2Al2Au7. Source: the Alexandria database, functional PBE.

## Properties
Its total energy is -50.01 eV for the cell shown. Its magnetization is 7.4 μB/f.u. The formation energy from the elements is -0.113 eV per atom. Its symmetry is C2/m (12).

Cell: 7.9664 5.1636 5.1636 Å, 114.64 86.97 86.97°
Each line ends with the local moment (μB).
Element x y z (fractional)
Mn (0.5000, 0.2463, 0.7537)  3.61
Mn (0.5000, 0.7537, 0.2463)  3.61
Al (0.6707, 0.2055, 0.2055)  -0.04
Al (0.3293, 0.7945, 0.7945)  -0.04
Au (0.1639, 0.8359, 0.4010)  0.01
Au (0.8361, 0.5990, 0.1641)  0.01
Au (0.8361, 0.1641, 0.5990)  0.01
Au (0.1639, 0.4010, 0.8359)  0.01
Au (0.0000, 0.0000, 0.0000)  -0.02
Au (0.6579, 0.7234, 0.7234)  0.02
Au (0.3421, 0.2766, 0.2766)  0.02

3.
An optimized crystal structure of MnAlAu2. Source: the Alexandria database, functional PBE.

## Properties
Its total energy is -20.43 eV for the cell shown. Its magnetization is 3.8 μB/f.u. The formation energy from the elements is -0.242 eV per atom. Its symmetry is Fm-3m (225).

Cell: 4.5211 4.5211 4.5211 Å, 60.00 60.00 60.00°
Each line ends with the local moment (μB).
Element x y z (fractional)
Mn (0.5000, 0.5000, 0.5000)  3.74
Au (0.2500, 0.2500, 0.2500)  0.00
Au (0.7500, 0.7500, 0.7500)  0.00
Al (0.0000, 0.0000, 0.0000)  -0.03

4.
An optimized crystal structure of MnAlAu2. Source: the Alexandria database, functional PBE.

## Properties
Its total energy is -20.15 eV for the cell shown. Its magnetization is 4.0 μB/f.u. The formation energy from the elements is -0.170 eV per atom. Its symmetry is Imm2 (44).

Cell: 5.0828 5.0828 5.0828 Å, 137.75 130.74 66.87°
Each line ends with the local moment (μB).
Element x y z (fractional)
Mn (0.5091, 0.5091, 0.0000)  3.76
Au (0.9862, 0.9862, 0.0000)  0.05
Au (0.2479, 0.7479, 0.5000)  0.05
Al (0.7568, 0.2568, 0.5000)  -0.03

5.
An optimized crystal structure of MnAlAu2. Source: the Alexandria database, functional PBE.

## Properties
Its total energy is -20.11 eV for the cell shown. Its magnetization is 4.3 μB/f.u. The formation energy from the elements is -0.161 eV per atom. Its symmetry is P4mm (99).

Cell: 3.4818 3.4803 5.5716 Å, 90.00 90.00 90.00°
Each line ends with the local moment (μB).
Element x y z (fractional)
Mn (0.0000, 0.0000, 0.4830)  3.87
Au (0.0000, 0.0000, 0.9678)  0.06
Au (0.5000, 0.5000, 0.2798)  0.11
Al (0.5000, 0.5000, 0.7694)  -0.01

6.
An optimized crystal structure of MnAl2Au8. Source: the Alexandria database, functional PBE.

## Properties
Its total energy is -44.89 eV for the cell shown. Its magnetization is 4.5 μB/f.u. The excess energy over the best structure of this formula in the dataset comes out at 0.000 eV per atom. The formation energy from the elements is -0.183 eV per atom. Its symmetry is P-1 (2).

Cell: 4.9114 6.1330 7.4773 Å, 109.31 107.91 97.36°
Each line ends with the local moment (μB).
Element x y z (fractional)
Mn (0.0912, 0.9094, 0.9090)  4.09
Al (0.8332, 0.5338, 0.2354)  0.00
Al (0.3486, 0.2843, 0.5828)  0.00
Au (0.7953, 0.2661, 0.8672)  0.02
Au (0.9107, 0.9508, 0.5317)  0.02
Au (0.3084, 0.3539, 0.2446)  0.01
Au (0.7198, 0.0472, 0.1442)  0.03
Au (0.2708, 0.8674, 0.2863)  0.02
Au (0.8734, 0.4643, 0.5738)  0.01
Au (0.3865, 0.5521, 0.9510)  0.02
Au (0.4620, 0.7709, 0.6739)  0.03

7.
An optimized crystal structure of MnAl4Au. Source: the Alexandria database, functional PBE.

## Properties
Its total energy is -26.34 eV for the cell shown. Its magnetization is 2.7 μB/f.u. The formation energy from the elements is 0.180 eV per atom. Its symmetry is F-43m (216).

Cell: 5.1858 5.1858 5.1858 Å, 60.00 60.00 60.00°
Each line ends with the local moment (μB).
Element x y z (fractional)
Mn (0.0000, 0.0000, 0.0000)  3.24
Al (0.8762, 0.3746, 0.3746)  -0.05
Al (0.3746, 0.3746, 0.8762)  -0.05
Al (0.3746, 0.8762, 0.3746)  -0.05
Al (0.3746, 0.3746, 0.3746)  -0.05
Au (0.7500, 0.7500, 0.7500)  -0.08

8.
An optimized crystal structure of MnAlAu6. Source: the Alexandria database, functional PBE.

## Properties
Its total energy is -33.04 eV for the cell shown. Its magnetization is 4.3 μB/f.u. The excess energy over the best structure of this formula in the dataset comes out at 0.088 eV per atom. The formation energy from the elements is -0.058 eV per atom. Its symmetry is C2/m (12).

Cell: 4.7021 4.7021 7.6945 Å, 76.12 76.12 70.87°
Each line ends with the local moment (μB).
Element x y z (fractional)
Mn (0.0000, 0.0000, 0.0000)  4.03
Al (0.5000, 0.5000, 0.5000)  0.00
Au (0.0627, 0.5601, 0.3092)  0.02
Au (0.5601, 0.0627, 0.3092)  0.02
Au (0.4399, 0.9373, 0.6908)  0.02
Au (0.9373, 0.4399, 0.6908)  0.02
Au (0.3583, 0.3583, 0.9277)  0.04
Au (0.6417, 0.6417, 0.0723)  0.04

- Number 4 is which compound?
  MnAlAu2